# 1
Dy3Sn3Pt: optimized geometry, PBE.

Cell: 4.488 6.009 14.341 Å, 84.52 81.00 68.07°
Element x y z (fractional)
Dy 0.519 0.339 0.623
Dy 0.481 0.661 0.377
Dy 0.264 0.235 0.237
Dy 0.736 0.765 0.763
Dy 0.402 0.273 0.924
Dy 0.598 0.727 0.076
Sn 0.855 0.757 0.533
Sn 0.145 0.243 0.467
Sn 0.129 0.818 0.924
Sn 0.871 0.182 0.076
Sn 0.984 0.802 0.231
Sn 0.016 0.198 0.769
Pt 0.758 0.105 0.379
Pt 0.242 0.895 0.621

## Properties
ΔE_f: -858 meV per atom
Magnetic moment: 0.00 μB per formula unit
Theoretical density: 9.743 g/cm3



# 2
Al2SbBr: optimized geometry, PBE.

Cell: 3.389 3.389 8.791 Å, 90.00 90.00 110.96°
Element x y z (fractional)
Sb 0.500 0.500 0.750
Al 0.000 0.000 0.001
Al 0.000 0.000 0.499
Br 0.500 0.500 0.250

## Properties
Energy above the most stable polymorph in this dataset: 0.286 eV/atom
Magnetic moment: 0.00 μB per formula unit
Formation energy without anion corrections: 0.155 eV per atom
Theoretical density: 4.502 g/cm3



# 3
In2GaCu: optimized geometry, PBE.

Cell: 4.450 4.450 9.535 Å, 76.51 76.51 90.00°
Element x y z (fractional)
Cu 0.500 0.500 0.000
Cu 0.250 0.750 0.500
Ga 0.000 0.000 0.000
Ga 0.750 0.250 0.500
In 0.605 0.125 0.250
In 0.145 0.625 0.250
In 0.375 0.395 0.750
In 0.875 0.855 0.750

## Properties
ΔE_f: 198 meV per atom
Magnetic moment: 0.00 μB per formula unit
Theoretical density: 6.762 g/cm3



Number 1: energy -5.41 eV/atom. Number 2: energy -3.17 eV/atom. Number 3: energy -2.95 eV/atom.